1.
# PmDy6In2

A geometry-optimized PmDy6In2 structure (PBE-GGA, Alexandria via LeMat-Bulk).

Space group   I-42m
E_form   0.54 eV/atom
Polymorph energy (0 for the lowest one)   737 meV/atom

Unit cell a=11.261 b=11.261 c=11.261 alpha=150.99 beta=150.99 gamma=41.49
Positions (direct):
Pm 0.000 0.000 0.000
Dy 0.239 0.627 0.000
Dy 0.250 0.750 0.500
Dy 0.373 0.373 0.612
Dy 0.627 0.239 0.000
Dy 0.750 0.250 0.500
Dy 0.761 0.761 0.388
In 0.310 0.310 0.000
In 0.690 0.690 0.000

=====

2.
# Pm4Dy2In

A geometry-optimized Pm4Dy2In structure (PBE-GGA, Alexandria via LeMat-Bulk).

Space group   P1
E_form   0.03 eV/atom

Unit cell a=6.920 b=8.825 c=8.888 alpha=81.92 beta=67.12 gamma=66.95
Positions (direct):
Pm 0.000 0.000 0.000
Pm 0.000 0.084 0.409
Pm 0.441 0.010 0.990
Pm 0.496 0.587 0.914
Pm 0.498 0.899 0.601
Pm 0.500 0.486 0.514
Pm 0.941 0.475 0.526
Pm 0.993 0.402 0.105
Dy 0.156 0.703 0.294
Dy 0.482 0.243 0.257
Dy 0.653 0.783 0.221
Dy 0.982 0.743 0.757
In 0.224 0.272 0.735
In 0.728 0.214 0.780

=====

3.
# PmDy5In8

A geometry-optimized PmDy5In8 structure (PBE-GGA, Alexandria via LeMat-Bulk).

Space group   I-4
E_form   -0.34 eV/atom

Unit cell a=7.981 b=7.981 c=7.981 alpha=109.98 beta=109.98 gamma=108.47
Positions (direct):
Pm 0.000 0.000 0.000
Dy 0.229 0.632 0.145
Dy 0.368 0.513 0.597
Dy 0.487 0.085 0.855
Dy 0.750 0.250 0.500
Dy 0.915 0.771 0.403
In 0.128 0.694 0.764
In 0.153 0.237 0.766
In 0.306 0.070 0.434
In 0.471 0.387 0.234
In 0.613 0.847 0.084
In 0.636 0.872 0.566
In 0.763 0.529 0.916
In 0.930 0.364 0.236

=====

4.
# Pm2Dy2In5

A geometry-optimized Pm2Dy2In5 structure (PBE-GGA, Alexandria via LeMat-Bulk).

Space group   Ima2
E_form   -0.28 eV/atom

Unit cell a=9.466 b=9.466 c=9.466 alpha=81.88 beta=135.26 gamma=115.52
Positions (direct):
Pm 0.027 0.127 0.154
Pm 0.027 0.373 0.401
Pm 0.973 0.627 0.599
Pm 0.973 0.873 0.846
Dy 0.435 0.435 0.000
Dy 0.435 0.935 0.500
Dy 0.561 0.815 0.245
Dy 0.570 0.315 0.755
In 0.064 0.426 0.940
In 0.064 0.624 0.138
In 0.097 0.035 0.562
In 0.472 0.535 0.438
In 0.486 0.124 0.060
In 0.486 0.926 0.862
In 0.524 0.258 0.357
In 0.524 0.667 0.767
In 0.900 0.167 0.643
In 0.900 0.758 0.233

=====

5.
# PmDy6In2

A geometry-optimized PmDy6In2 structure (PBE-GGA, Alexandria via LeMat-Bulk).

Space group   C2/m
E_form   -0.20 eV/atom
Polymorph energy (0 for the lowest one)   0 meV/atom

Unit cell a=6.643 b=6.643 c=11.940 alpha=107.19 beta=107.19 gamma=32.90
Positions (direct):
Pm 0.000 0.000 0.000
Dy 0.013 0.013 0.343
Dy 0.310 0.310 0.417
Dy 0.313 0.313 0.125
Dy 0.687 0.687 0.875
Dy 0.690 0.690 0.583
Dy 0.987 0.987 0.657
In 0.356 0.356 0.787
In 0.644 0.644 0.213

=====

6.
# PmDy12In3

A geometry-optimized PmDy12In3 structure (PBE-GGA, Alexandria via LeMat-Bulk).

Space group   P4/mmm
E_form   -0.19 eV/atom

Unit cell a=4.862 b=4.862 c=19.845 alpha=90.00 beta=90.00 gamma=90.00
Positions (direct):
Pm 0.000 0.000 0.000
Dy 0.000 0.500 0.132
Dy 0.000 0.500 0.377
Dy 0.000 0.500 0.623
Dy 0.000 0.500 0.868
Dy 0.500 0.000 0.132
Dy 0.500 0.000 0.377
Dy 0.500 0.000 0.623
Dy 0.500 0.000 0.868
Dy 0.500 0.500 0.000
Dy 0.500 0.500 0.256
Dy 0.500 0.500 0.500
Dy 0.500 0.500 0.744
In 0.000 0.000 0.257
In 0.000 0.000 0.500
In 0.000 0.000 0.743

=====

7.
# PmPrDy2In4

A geometry-optimized PmPrDy2In4 structure (PBE-GGA, Alexandria via LeMat-Bulk).

Space group   R-3m
E_form   -0.48 eV/atom

Unit cell a=9.360 b=9.360 c=9.360 alpha=33.50 beta=33.50 gamma=33.50
Positions (direct):
Pm 0.000 0.000 0.000
Pr 0.500 0.500 0.500
Dy 0.250 0.250 0.250
Dy 0.750 0.750 0.750
In 0.124 0.124 0.124
In 0.374 0.374 0.374
In 0.626 0.626 0.626
In 0.876 0.876 0.876

=====

8.
# Pm6Pr2Dy3In

A geometry-optimized Pm6Pr2Dy3In structure (PBE-GGA, Alexandria via LeMat-Bulk).

Space group   C2/m
E_form   -0.05 eV/atom

Unit cell a=6.213 b=6.213 c=11.917 alpha=95.00 beta=95.00 gamma=120.08
Positions (direct):
Pm 0.084 0.409 0.751
Pm 0.241 0.241 0.248
Pm 0.409 0.084 0.751
Pm 0.591 0.916 0.249
Pm 0.759 0.759 0.752
Pm 0.916 0.591 0.249
Pr 0.334 0.666 0.500
Pr 0.666 0.334 0.500
Dy 0.167 0.833 0.000
Dy 0.500 0.500 0.000
Dy 0.833 0.167 0.000
In 0.000 0.000 0.500

=====

9.
# Pm6Pr3Dy2In

A geometry-optimized Pm6Pr3Dy2In structure (PBE-GGA, Alexandria via LeMat-Bulk).

Space group   C2/m
E_form   -0.03 eV/atom

Unit cell a=6.277 b=6.277 c=11.890 alpha=95.14 beta=95.14 gamma=120.19
Positions (direct):
Pm 0.079 0.405 0.242
Pm 0.246 0.246 0.756
Pm 0.405 0.079 0.242
Pm 0.595 0.921 0.758
Pm 0.754 0.754 0.244
Pm 0.921 0.595 0.758
Pr 0.169 0.831 0.500
Pr 0.500 0.500 0.500
Pr 0.831 0.169 0.500
Dy 0.334 0.666 0.000
Dy 0.666 0.334 0.000
In 0.000 0.000 0.000

=====

10.
# Pm2PrDyIn4

A geometry-optimized Pm2PrDyIn4 structure (PBE-GGA, Alexandria via LeMat-Bulk).

Space group   R-3m
E_form   -0.48 eV/atom

Unit cell a=9.420 b=9.420 c=9.420 alpha=33.48 beta=33.48 gamma=33.48
Positions (direct):
Pm 0.249 0.249 0.249
Pm 0.751 0.751 0.751
Pr 0.000 0.000 0.000
Dy 0.500 0.500 0.500
In 0.126 0.126 0.126
In 0.377 0.377 0.377
In 0.623 0.623 0.623
In 0.874 0.874 0.874

=====

11.
# Pm2Pr6Dy3In

A geometry-optimized Pm2Pr6Dy3In structure (PBE-GGA, Alexandria via LeMat-Bulk).

Space group   C2/m
E_form   -0.05 eV/atom

Unit cell a=6.263 b=6.263 c=11.962 alpha=95.04 beta=95.04 gamma=120.14
Positions (direct):
Pm 0.166 0.834 0.000
Pm 0.834 0.166 0.000
Pr 0.091 0.417 0.750
Pr 0.258 0.258 0.251
Pr 0.417 0.091 0.750
Pr 0.583 0.909 0.250
Pr 0.742 0.742 0.749
Pr 0.909 0.583 0.250
Dy 0.000 0.000 0.500
Dy 0.333 0.667 0.500
Dy 0.667 0.333 0.500
In 0.500 0.500 0.000

=====

12.
# Pm3Pr6Dy2In

A geometry-optimized Pm3Pr6Dy2In structure (PBE-GGA, Alexandria via LeMat-Bulk).

Space group   C2/m
E_form   -0.03 eV/atom

Unit cell a=6.308 b=6.308 c=11.954 alpha=95.17 beta=95.17 gamma=120.28
Positions (direct):
Pm 0.000 0.000 0.000
Pm 0.331 0.669 0.000
Pm 0.669 0.331 0.000
Pr 0.094 0.420 0.256
Pr 0.255 0.255 0.746
Pr 0.420 0.094 0.256
Pr 0.580 0.906 0.744
Pr 0.745 0.745 0.254
Pr 0.906 0.580 0.744
Dy 0.166 0.834 0.500
Dy 0.834 0.166 0.500
In 0.500 0.500 0.500